The following is a DFT calculation (PBE-GGA) of a geometry-optimized Ag4SnAs structure.

Output
The formation energy from the elements is 0.99 eV/f.u. The calculation puts the volume at 123 Å³/cell. The energy is -3.1780 eV per atom. As for the size of the total moment: 0.000 μB/cell. The space group is F-43m, No. 216.

a = 5.578 Å, b = 5.578 Å, c = 5.578 Å
α = 60.00°, β = 60.00°, γ = 60.00°
Sites, in units of the cell vectors:
As1 0.250 0.250 0.250
Sn1 0.000 0.000 0.000
Ag1 0.625 0.625 0.126
Ag2 0.625 0.126 0.625
Ag3 0.625 0.625 0.625
Ag4 0.126 0.625 0.625